# 1
# AlC, relaxed, DFT PBE-GGA
# - energy above the lowest structure with this stoichiometry (eV/atom) = 0.783
# - V (Å³ per cell) = 69.43
# - ΔH_f (0 K) (meV per atom) = 1008
# - final energy (eV per atom) = -5.475
data_AlC
_chemical_formula_sum 'Al3 C3'
_symmetry_space_group_name_H-M 'P m -3 m'
_symmetry_Int_Tables_number 221
_symmetry_space_group_name_Hall '-P 4 2 3'
_cell_length_a 4.1100
_cell_length_b 4.1100
_cell_length_c 4.1100
_cell_angle_alpha 90.00
_cell_angle_beta 90.00
_cell_angle_gamma 90.00
loop_
_atom_site_label
_atom_site_fract_x
_atom_site_fract_y
_atom_site_fract_z
Al1 0.0000 0.0000 0.5000
C1 0.0000 0.5000 0.5000

---

# 2
# AlC3, relaxed, DFT PBE-GGA
# - energy above the lowest structure with this stoichiometry (eV/atom) = 1.734
# - V (Å³ per cell) = 67.49
# - ΔH_f (0 K) (meV per atom) = 2515
# - final energy (eV per atom) = -5.339
data_AlC3
_chemical_formula_sum 'Al2 C6'
_symmetry_space_group_name_H-M 'C m m m'
_symmetry_Int_Tables_number 65
_symmetry_space_group_name_Hall '-C 2 2'
_cell_length_a 3.9171
_cell_length_b 5.8047
_cell_length_c 2.9684
_cell_angle_alpha 90.00
_cell_angle_beta 90.00
_cell_angle_gamma 90.00
loop_
_atom_site_label
_atom_site_fract_x
_atom_site_fract_y
_atom_site_fract_z
Al1 0.0000 0.0000 0.0000
C1 0.0000 0.5000 0.0000
C2 0.2500 0.2500 0.5000

---

# 3
# Al5C4, relaxed, DFT PBE-GGA
# - energy above the lowest structure with this stoichiometry (eV/atom) = 0.760
# - V (Å³ per cell) = 232.31
# - ΔH_f (0 K) (meV per atom) = 1266
# - final energy (eV per atom) = -4.912
data_Al5C4
_chemical_formula_sum 'Al10 C8'
_symmetry_space_group_name_H-M 'I 4/m m m'
_symmetry_Int_Tables_number 139
_symmetry_space_group_name_Hall '-I 4 2'
_cell_length_a 6.6823
_cell_length_b 6.6823
_cell_length_c 5.2026
_cell_angle_alpha 90.00
_cell_angle_beta 90.00
_cell_angle_gamma 90.00
loop_
_atom_site_label
_atom_site_fract_x
_atom_site_fract_y
_atom_site_fract_z
Al1 0.0000 0.0000 0.0000
Al2 0.2053 0.2053 0.5000
C1 0.0000 0.3097 0.0000